(1)
PBE Y6C2S3O, optimized geometry; uncorrected formation energy = -164.77 kJ per mole of atoms; density = 4.995 g/cm3; N(E_F) = 0.204 states/eV per atom; DFT total energy = -7.92 eV/atom
1.0
-5.758 2.691 0.679
0.482 -6.044 -2.024
1.514 -0.899 6.400
Y C S O
6 2 3 1
direct
0.929 0.589 0.786
0.732 0.732 0.214
0.071 0.411 0.214
0.589 0.929 0.786
0.268 0.268 0.786
0.411 0.071 0.214
0.333 0.667 0.000
0.667 0.333 0.000
0.166 0.834 0.500
0.834 0.166 0.500
0.500 0.500 0.500
0.000 0.000 0.000

(2)
PBE Y8C3S3O, optimized geometry; uncorrected formation energy = -136.36 kJ per mole of atoms; density = 4.855 g/cm3; N(E_F) = 0.387 states/eV per atom; DFT total energy = -7.86 eV/atom
1.0
-6.469 -1.066 3.358
2.698 -5.154 -4.519
3.303 1.107 6.714
Y C S O
8 3 3 1
direct
0.261 0.523 0.285
0.739 0.477 0.715
0.757 0.515 0.284
0.243 0.485 0.716
0.757 0.027 0.284
0.243 0.973 0.716
0.270 0.027 0.284
0.730 0.973 0.716
0.500 0.000 0.500
0.500 0.500 0.500
0.000 0.500 0.500
0.000 0.000 0.000
0.000 0.500 0.000
0.500 0.500 0.000
0.000 0.000 0.500

(3)
PBE Y4CSO2, optimized geometry; uncorrected formation energy = -194.93 kJ per mole of atoms; density = 5.407 g/cm3; N(E_F) = 0.302 states/eV per atom; DFT total energy = -8.16 eV/atom
1.0
-1.628 -3.201 -0.227
2.919 -1.847 5.101
-3.510 1.423 5.093
Y C S O
4 1 1 2
direct
0.000 0.762 0.723
0.000 0.238 0.277
0.500 0.752 0.268
0.500 0.248 0.732
0.000 0.500 0.500
0.500 0.500 0.000
0.000 0.000 0.000
0.500 0.000 0.500

(4)
PBE YCSO2, optimized geometry; uncorrected formation energy = 31.33 kJ per mole of atoms; density = 3.751 g/cm3; N(E_F) = 0.752 states/eV per atom; DFT total energy = -5.62 eV/atom
1.0
-3.124 0.594 -1.626
2.196 -1.927 -4.923
-1.058 -3.311 0.824
Y S C O
1 1 1 2
direct
0.000 0.500 0.000
0.000 0.000 0.000
0.500 0.500 0.500
0.000 0.000 0.500
0.500 0.000 0.000

(5)
PBE ZrCS2O, optimized geometry; uncorrected formation energy = 15.39 kJ per mole of atoms; density = 4.890 g/cm3; N(E_F) = 0.231 states/eV per atom; DFT total energy = -6.04 eV/atom
1.0
4.022 0.000 0.000
0.000 3.849 0.000
0.000 0.000 4.022
C S O Zr
1 2 1 1
direct
0.000 0.000 0.000
0.000 0.000 0.500
0.500 0.000 0.000
0.000 0.500 0.000
0.500 0.500 0.500

(6)
PBE SbCO2, optimized geometry; uncorrected formation energy = 105.82 kJ per mole of atoms; density = 6.264 g/cm3; N(E_F) = 0.511 states/eV per atom; DFT total energy = -4.72 eV/atom
1.0
-0.508 -0.025 3.928
-3.579 -0.735 1.530
-0.684 -3.415 1.887
Sb C O
1 1 2
direct
0.500 0.500 0.500
0.000 0.000 0.000
0.250 0.250 0.250
0.750 0.750 0.750

(7)
PBE SbCO2, optimized geometry; uncorrected formation energy = 94.66 kJ per mole of atoms; density = 5.667 g/cm3; N(E_F) = 0.150 states/eV per atom; DFT total energy = -4.83 eV/atom
1.0
1.732 0.000 6.231
-0.866 1.500 6.231
-0.866 -1.500 6.231
Sb C O
1 1 2
direct
0.000 0.000 0.000
0.500 0.500 0.500
0.886 0.886 0.886
0.114 0.114 0.114

(8)
PBE SbCO2, optimized geometry; uncorrected formation energy = -66.01 kJ per mole of atoms; density = 3.643 g/cm3; N(E_F) = 0.259 states/eV per atom; DFT total energy = -6.50 eV/atom
1.0
1.799 0.000 8.985
-0.900 1.558 8.985
-0.900 -1.558 8.985
Sb C O
1 1 2
direct
0.500 0.500 0.500
0.000 0.000 0.000
0.956 0.956 0.956
0.044 0.044 0.044

(9)
PBE SbC2O, optimized geometry; uncorrected formation energy = 229.43 kJ per mole of atoms; density = 6.183 g/cm3; N(E_F) = 0.708 states/eV per atom; DFT total energy = -4.50 eV/atom
1.0
3.590 -1.111 1.205
0.388 -2.972 2.566
1.501 -3.450 -1.189
Sb C O
1 2 1
direct
0.500 0.500 0.500
0.250 0.250 0.250
0.750 0.750 0.750
0.000 0.000 0.000

(10)
PBE SbCO3, optimized geometry; uncorrected formation energy = 61.31 kJ per mole of atoms; density = 5.156 g/cm3; N(E_F) = 0.265 states/eV per atom; DFT total energy = -5.01 eV/atom
1.0
-2.186 -1.806 2.652
0.065 -3.233 -2.149
3.209 -1.166 1.850
Sb C O
1 1 3
direct
0.000 0.000 0.000
0.500 0.500 0.500
0.000 0.500 0.000
0.000 0.000 0.500
0.500 0.000 0.000

(11)
PBE SbCO3, optimized geometry; uncorrected formation energy = -97.85 kJ per mole of atoms; density = 2.788 g/cm3; N(E_F) = 0.126 states/eV per atom; DFT total energy = -6.66 eV/atom
1.0
-2.750 -3.241 0.138
7.092 -5.340 1.078
-4.897 11.426 4.194
Sb C O
2 2 6
direct
0.066 0.725 0.725
0.934 0.275 0.275
0.476 0.346 0.799
0.524 0.654 0.201
0.414 0.619 0.619
0.586 0.381 0.381
0.793 0.526 0.884
0.207 0.474 0.116
0.159 0.166 0.714
0.841 0.834 0.286

(12)
PBE SbCO2, optimized geometry; uncorrected formation energy = 54.03 kJ per mole of atoms; density = 5.801 g/cm3; N(E_F) = 0.257 states/eV per atom; DFT total energy = -5.26 eV/atom
1.0
5.119 0.000 0.000
0.000 5.119 0.000
2.560 2.560 3.621
Sb C O
2 2 4
direct
0.000 0.000 0.000
0.750 0.250 0.500
0.500 0.500 0.000
0.250 0.750 0.500
0.375 0.125 0.250
0.375 0.625 0.250
0.375 0.625 0.750
0.875 0.625 0.750

(13)
PBE SbCO3, optimized geometry; uncorrected formation energy = 35.34 kJ per mole of atoms; density = 6.666 g/cm3; N(E_F) = 0.341 states/eV per atom; DFT total energy = -5.28 eV/atom
1.0
3.564 0.000 0.000
0.000 3.564 0.000
0.000 0.000 3.564
Sb C O
1 1 3
direct
0.500 0.500 0.500
0.000 0.000 0.000
0.000 0.500 0.000
0.000 0.000 0.500
0.500 0.000 0.000

(14)
PBE SbC2O, optimized geometry; uncorrected formation energy = 187.65 kJ per mole of atoms; density = 5.133 g/cm3; N(E_F) = 0.359 states/eV per atom; DFT total energy = -4.94 eV/atom
1.0
-3.365 -1.519 -2.419
-0.566 -3.309 2.865
-5.374 0.622 3.057
Sb C O
2 4 2
direct
0.000 0.000 0.000
0.750 0.250 0.500
0.557 0.125 0.250
0.193 0.625 0.250
0.375 0.443 0.750
0.875 0.807 0.750
0.500 0.500 0.000
0.250 0.750 0.500

(15)
PBE Sb3CO, optimized geometry; uncorrected formation energy = 119.32 kJ per mole of atoms; density = 6.262 g/cm3; N(E_F) = 0.697 states/eV per atom; DFT total energy = -4.07 eV/atom
1.0
-0.560 -2.047 -4.201
4.574 -1.110 -0.069
-0.961 -4.090 2.121
Sb C O
3 1 1
direct
0.000 0.500 0.000
0.000 0.000 0.500
0.500 0.000 0.000
0.500 0.500 0.500
0.000 0.000 0.000

(16)
PBE ScSbC2O, optimized geometry; uncorrected formation energy = 92.95 kJ per mole of atoms; density = 4.582 g/cm3; N(E_F) = 0.533 states/eV per atom; DFT total energy = -5.81 eV/atom
1.0
4.349 0.000 0.000
0.000 3.961 0.000
0.000 0.000 4.349
Sc Sb C O
1 1 2 1
direct
0.000 0.000 0.000
0.500 0.500 0.500
0.000 0.000 0.500
0.500 0.000 0.000
0.000 0.500 0.000

(17)
PBE SbTe2CO, optimized geometry; uncorrected formation energy = 124.42 kJ per mole of atoms; density = 6.442 g/cm3; N(E_F) = 0.954 states/eV per atom; DFT total energy = -3.63 eV/atom
1.0
-1.347 4.102 -1.504
1.450 -1.065 -4.203
-4.502 -1.873 -1.078
Sb C Te O
1 1 2 1
direct
0.000 0.000 0.500
0.000 0.000 0.000
0.000 0.500 0.000
0.500 0.000 0.000
0.500 0.500 0.500

(18)
PBE Sb2TeCO, optimized geometry; uncorrected formation energy = 120.14 kJ per mole of atoms; density = 6.370 g/cm3; N(E_F) = 0.982 states/eV per atom; DFT total energy = -3.87 eV/atom
1.0
-1.706 4.452 -0.556
-4.211 -1.384 1.843
1.458 1.075 4.137
Sb C Te O
2 1 1 1
direct
0.000 0.500 0.000
0.500 0.000 0.000
0.000 0.000 0.000
0.000 0.000 0.500
0.500 0.500 0.500

(19)
PBE TlSbC2O6, optimized geometry; uncorrected formation energy = -120.20 kJ per mole of atoms; density = 4.522 g/cm3; N(E_F) = 0.000 states/eV per atom; DFT total energy = -6.71 eV/atom
1.0
-5.076 -0.771 4.671
-2.749 -4.121 -4.861
5.995 -3.679 2.756
Tl Sb C O
2 2 4 12
direct
0.126 0.874 0.250
0.874 0.126 0.750
0.567 0.433 0.250
0.433 0.567 0.750
0.394 0.172 0.723
0.828 0.606 0.777
0.606 0.828 0.277
0.172 0.394 0.223
0.991 0.403 0.206
0.597 0.009 0.294
0.009 0.597 0.794
0.403 0.991 0.706
0.235 0.268 0.095
0.732 0.765 0.405
0.765 0.732 0.905
0.268 0.235 0.595
0.334 0.523 0.376
0.477 0.666 0.124
0.666 0.477 0.624
0.523 0.334 0.876

(20)
PBE Zr2SbCO, optimized geometry; uncorrected formation energy = 149.87 kJ per mole of atoms; density = 4.742 g/cm3; N(E_F) = 0.978 states/eV per atom; DFT total energy = -5.53 eV/atom
1.0
-0.447 -0.350 -5.312
-2.132 -4.873 0.500
-3.721 1.649 0.205
Sb C O Zr
1 1 1 2
direct
0.000 0.000 0.000
0.000 0.000 0.500
0.500 0.500 0.500
0.000 0.500 0.000
0.500 0.000 0.000

(21)
PBE ZrSbC2O, optimized geometry; uncorrected formation energy = 74.36 kJ per mole of atoms; density = 5.227 g/cm3; N(E_F) = 0.477 states/eV per atom; DFT total energy = -6.44 eV/atom
1.0
-1.702 3.092 2.729
-3.132 0.484 -2.503
-2.244 -3.171 2.194
Sb C O Zr
1 2 1 1
direct
0.500 0.500 0.500
0.000 0.000 0.500
0.500 0.000 0.000
0.000 0.500 0.000
0.000 0.000 0.000

(22)
PBE Sc8C3O4, optimized geometry; uncorrected formation energy = -168.82 kJ per mole of atoms; density = 3.672 g/cm3; N(E_F) = 0.365 states/eV per atom; DFT total energy = -8.29 eV/atom
1.0
5.723 0.000 3.086
2.029 5.351 3.086
0.022 0.015 6.807
Sc C O
8 3 4
direct
0.237 0.237 0.290
0.240 0.742 0.275
0.742 0.742 0.275
0.742 0.240 0.275
0.763 0.763 0.710
0.760 0.258 0.725
0.258 0.258 0.725
0.258 0.760 0.725
0.500 0.000 0.500
0.000 0.000 0.500
0.000 0.500 0.500
0.000 0.000 0.000
0.354 0.354 0.937
0.500 0.500 0.500
0.646 0.646 0.063

(23)
PBE Sc6C2O, optimized geometry; uncorrected formation energy = -90.29 kJ per mole of atoms; density = 3.461 g/cm3; N(E_F) = 0.978 states/eV per atom; DFT total energy = -7.76 eV/atom
1.0
-3.561 0.519 -4.339
3.080 -3.332 -2.926
-5.127 -7.632 3.294
Sc C O
12 4 2
direct
0.833 0.754 0.336
0.833 0.754 0.664
0.837 0.727 0.000
0.663 0.227 0.500
0.667 0.254 0.836
0.667 0.254 0.164
0.167 0.246 0.664
0.167 0.246 0.336
0.163 0.273 0.000
0.337 0.773 0.500
0.333 0.746 0.164
0.333 0.746 0.836
0.000 0.500 0.825
0.500 0.000 0.675
0.500 0.000 0.325
0.000 0.500 0.175
0.500 0.500 0.000
0.000 0.000 0.500

(24)
PBE Sc3CO, optimized geometry; uncorrected formation energy = -58.99 kJ per mole of atoms; density = 3.720 g/cm3; N(E_F) = 0.911 states/eV per atom; DFT total energy = -7.25 eV/atom
1.0
-2.177 -2.668 2.359
3.540 -1.925 1.089
0.392 2.568 3.266
Sc C O
3 1 1
direct
0.000 0.500 0.000
0.000 0.000 0.500
0.500 0.000 0.000
0.500 0.500 0.500
0.000 0.000 0.000

(25)
PBE ScC2O2, optimized geometry; uncorrected formation energy = 15.21 kJ per mole of atoms; density = 3.505 g/cm3; N(E_F) = 0.346 states/eV per atom; DFT total energy = -6.78 eV/atom
1.0
6.245 0.000 0.000
0.000 6.245 0.000
0.000 0.000 2.453
Sc C O
2 4 4
direct
0.000 0.000 0.000
0.500 0.500 0.000
0.265 0.765 0.500
0.765 0.735 0.500
0.735 0.235 0.500
0.235 0.265 0.500
0.360 0.860 0.000
0.860 0.640 0.000
0.640 0.140 0.000
0.140 0.360 0.000